Below is crystalline ZrGe3Os at its relaxed geometry, with properties calculated at the PBE level.

The structure in CIF format:
```
data_ZrGe3Os
_cell_length_a 4.783
_cell_length_b 4.783
_cell_length_c 4.783
_cell_angle_alpha 90.00
_cell_angle_beta 90.00
_cell_angle_gamma 90.00
_space_group_name_H-M_alt 'P 1'
_space_group_IT_number 1
_space_group_name_Hall 'P 1'
loop_
_atom_site_label
_atom_site_fract_x
_atom_site_fract_y
_atom_site_fract_z
_atom_site_occupancy
Zr1 0.000 0.000 0.000 1
Ge1 0.000 0.500 0.500 1
Ge2 0.500 0.000 0.500 1
Ge3 0.500 0.500 0.000 1
Os1 0.500 0.500 0.500 1
```

Values from the calculation:
- SG = Pm-3m (221)
- calculated formation energy (eV/atom) = 0.64
- DFT total energy (eV per atom) = -6.0843

Below is crystalline KNiSb2 at its relaxed geometry, with properties calculated at the PBE level.

The structure in CIF format:
```
data_KNiSb2
_cell_length_a 5.112
_cell_length_b 4.144
_cell_length_c 5.781
_cell_angle_alpha 90.00
_cell_angle_beta 109.60
_cell_angle_gamma 90.00
_space_group_name_H-M_alt 'P 1'
_space_group_IT_number 1
_space_group_name_Hall 'P 1'
loop_
_atom_site_label
_atom_site_fract_x
_atom_site_fract_y
_atom_site_fract_z
_atom_site_occupancy
K1 0.000 0.000 0.000 1
Ni1 0.500 0.000 0.500 1
Sb1 0.317 0.500 0.648 1
Sb2 0.683 0.500 0.352 1
```

Values from the calculation:
- SG = P2/m (10)
- DFT total energy (eV per atom) = -3.9878
- ΔE_f (raw) (eV/atom) = -0.21

Below is crystalline Ca4PmHo3Se8 at its relaxed geometry, with properties calculated at the PBE level.

The structure in CIF format:
```
data_Ca4PmHo3Se8
_cell_length_a 8.336
_cell_length_b 8.336
_cell_length_c 8.336
_cell_angle_alpha 59.15
_cell_angle_beta 59.15
_cell_angle_gamma 59.15
_space_group_name_H-M_alt 'P 1'
_space_group_IT_number 1
_space_group_name_Hall 'P 1'
loop_
_atom_site_label
_atom_site_fract_x
_atom_site_fract_y
_atom_site_fract_z
_atom_site_occupancy
Ca1 0.000 0.000 0.000 1
Ca2 0.000 0.500 0.500 1
Ca3 0.500 0.000 0.500 1
Ca4 0.500 0.500 0.000 1
Pm1 0.500 0.500 0.500 1
Ho1 0.000 0.000 0.500 1
Ho2 0.000 0.500 0.000 1
Ho3 0.500 0.000 0.000 1
Se1 0.243 0.752 0.752 1
Se2 0.248 0.248 0.248 1
Se3 0.248 0.248 0.757 1
Se4 0.248 0.757 0.248 1
Se5 0.752 0.243 0.752 1
Se6 0.752 0.752 0.243 1
Se7 0.752 0.752 0.752 1
Se8 0.757 0.248 0.248 1
```

Values from the calculation:
- SG = R-3m (166)
- DFT total energy (eV per atom) = -5.2694
- ΔE_f (raw) (eV/atom) = -1.87